Record 1
Entry from the Alexandria database: a geometry-optimized PrNd3Y2 structure (GGA-PBE).

abc: 9.6682 9.6682 6.3197
angles: 90.21 90.21 44.34
Element x y z (fractional)
Pr 0.1258 0.8742 0.7500
Pr 0.8742 0.1258 0.2500
Nd 0.0423 0.2933 0.9174
Nd 0.2933 0.0423 0.4174
Nd 0.3755 0.6245 0.2500
Nd 0.6245 0.3755 0.7500
Nd 0.7067 0.9577 0.5826
Nd 0.9577 0.7067 0.0826
Y 0.2085 0.4568 0.5823
Y 0.4568 0.2085 0.0823
Y 0.5432 0.7915 0.9177
Y 0.7915 0.5432 0.4177

Calculated values
spin magnetization = 0.000 μB/atom
calculated density = 6.044 g/cm3
formation energy = 0.08 eV per formula unit
N(E_F) = 17.821 states/eV/cell


Record 2
Entry from the Alexandria database: a geometry-optimized ReNiSe structure (GGA-PBE).

abc: 2.9705 3.5460 9.9283
angles: 93.38 90.34 90.00
Element x y z (fractional)
Re 0.2492 0.2395 0.4364
Re 0.7508 0.7605 0.5636
Ni 0.2538 0.2847 0.7095
Ni 0.7462 0.7153 0.2905
Se 0.2440 0.1984 0.1860
Se 0.7560 0.8016 0.8140

Calculated values
spin magnetization = 0.000 μB/atom
ΔE_f (raw) = -0.089 eV/atom
calculated density = 10.303 g/cm3
energy above the lowest structure with this stoichiometry = 0 meV/atom
N(E_F) = 3.041 states/eV/cell


Record 3
Entry from the Alexandria database: a geometry-optimized Ag2SnSb2 structure (GGA-PBE).

abc: 8.6628 8.6628 3.2616
angles: 90.00 90.00 90.00
Element x y z (fractional)
Ag 0.1188 0.3812 0.0000
Ag 0.3812 0.8812 0.0000
Ag 0.6188 0.1188 0.0000
Ag 0.8812 0.6188 0.0000
Sn 0.0000 0.0000 0.5000
Sn 0.5000 0.5000 0.5000
Sb 0.1784 0.6784 0.5000
Sb 0.3216 0.1784 0.5000
Sb 0.6784 0.8216 0.5000
Sb 0.8216 0.3216 0.5000

Calculated values
spin magnetization = 0.000 μB/atom
ΔE_f (raw) = 0.130 eV/atom
calculated density = 7.842 g/cm3
energy above the lowest structure with this stoichiometry = 0 meV/atom
N(E_F) = 6.198 states/eV/cell


Record 4
Entry from the Alexandria database: a geometry-optimized Ho2SbPb structure (GGA-PBE).

abc: 8.1826 4.2181 13.8095
angles: 90.00 90.00 90.00
Element x y z (fractional)
Ho 0.1797 0.2500 0.0087
Ho 0.1813 0.7500 0.7680
Ho 0.3187 0.2500 0.2680
Ho 0.3203 0.7500 0.5087
Ho 0.6797 0.2500 0.4913
Ho 0.6813 0.7500 0.7320
Ho 0.8187 0.2500 0.2320
Ho 0.8203 0.7500 0.9913
Sb 0.0751 0.7500 0.1622
Sb 0.4249 0.2500 0.6622
Sb 0.5751 0.7500 0.3378
Sb 0.9249 0.2500 0.8378
Pb 0.0422 0.2500 0.4219
Pb 0.4578 0.7500 0.9219
Pb 0.5422 0.2500 0.0781
Pb 0.9578 0.7500 0.5781

Calculated values
spin magnetization = 0.000 μB/atom
ΔE_f (raw) = -0.681 eV/atom
calculated density = 9.181 g/cm3
energy above the lowest structure with this stoichiometry = 103 meV/atom
N(E_F) = 13.641 states/eV/cell


Record 5
Entry from the Alexandria database: a geometry-optimized Cs3UBi3Se8 structure (GGA-PBE).

abc: 9.9162 9.9162 9.9162
angles: 51.49 51.49 51.49
Element x y z (fractional)
Cs 0.0000 0.5000 0.5000
Cs 0.5000 0.0000 0.5000
Cs 0.5000 0.5000 0.0000
U 0.5000 0.5000 0.5000
Bi 0.0000 0.0000 0.5000
Bi 0.0000 0.5000 0.0000
Bi 0.5000 0.0000 0.0000
Se 0.2306 0.2306 0.2306
Se 0.2407 0.7219 0.7219
Se 0.2781 0.2781 0.7593
Se 0.2781 0.7593 0.2781
Se 0.7219 0.2407 0.7219
Se 0.7219 0.7219 0.2407
Se 0.7593 0.2781 0.2781
Se 0.7694 0.7694 0.7694

Calculated values
spin magnetization = 0.134 μB/atom
ΔE_f (raw) = -0.877 eV/atom
calculated density = 5.708 g/cm3
N(E_F) = 10.449 states/eV/cell


Record 6
Entry from the Alexandria database: a geometry-optimized YZn2Tc structure (GGA-PBE).

abc: 4.1516 4.1516 4.1371
angles: 90.00 90.00 90.00
Element x y z (fractional)
Y 0.0000 0.0000 0.0000
Zn 0.0000 0.5000 0.5000
Zn 0.5000 0.0000 0.5000
Tc 0.5000 0.5000 0.0000

Calculated values
spin magnetization = 0.110 μB/atom
calculated density = 7.399 g/cm3
energy above the lowest structure with this stoichiometry = 114 meV/atom
formation energy = 0.09 eV per formula unit
N(E_F) = 2.172 states/eV/cell


Which formula does entry 2 have? ReNiSe